Here is an optimized crystal structure of CsSrAu10 from the Alexandria database. Energies are from PBE.

The space group is Pmmm (No. 47) and the conventional cell measures 4.514, 6.009 and 10.191 Å, with angles of 90.00, 90.00 and 90.00 degrees. The distinct sites, in fractional coordinates, are Cs at (0.000, 0.000, 0.000), Sr at (0.000, 0.500, 0.500), Au at (0.000, 0.000, 0.337), Au at (0.000, 0.500, 0.172), Au at (0.500, 0.000, 0.500), Au at (0.500, 0.263, 0.268) and Au at (0.500, 0.500, 0.000).

The value obtained for the total DFT energy (no corrections) is -3.2385 eV/atom. As for the formation energy: -0.30 eV/atom.


Here is an optimized crystal structure of PaTeIr from the Alexandria database. Energies are from PBE.

The space group is C2/m (No. 12) and the conventional cell measures 6.352, 5.620 and 9.005 Å, with angles of 90.00, 110.54 and 90.00 degrees. The distinct sites, in fractional coordinates, are Pa at (0.110, 0.000, 0.216), Te at (0.183, 0.500, 0.366) and Ir at (0.212, 0.500, 0.003).

Its formation energy from raw total energies is -0.7798 eV/atom. The value obtained for the total DFT energy (no corrections) is -7.9460 eV/atom. The value obtained for the energy above the most stable polymorph in this dataset is 0.000 eV/atom.


Here is an optimized crystal structure of BaPrAlTl from the Alexandria database. Energies are from PBE.

The space group is F-43m (No. 216) and the conventional cell measures 8.071, 8.071 and 8.071 Å, with angles of 90.00, 90.00 and 90.00 degrees. The distinct sites, in fractional coordinates, are Ba at (0.000, 0.000, 0.000), Pr at (0.000, 0.000, 0.500), Al at (0.250, 0.250, 0.750) and Tl at (0.250, 0.250, 0.250).

The value obtained for the total DFT energy (no corrections) is -3.3687 eV/atom. As for the formation energy: -0.17 eV/atom.


Here is an optimized crystal structure of HoNbTc from the Alexandria database. Energies are from PBE.

The space group is I4mm (No. 107) and the conventional cell measures 3.304, 3.304 and 10.910 Å, with angles of 90.00, 90.00 and 90.00 degrees. The distinct sites, in fractional coordinates, are Ho at (0.000, 0.000, 0.000), Nb at (0.000, 0.000, 0.299) and Tc at (0.000, 0.000, 0.678).

The value obtained for the total DFT energy (no corrections) is -8.4058 eV/atom. As for the formation energy: -0.07 eV/atom. The value obtained for the energy above the most stable polymorph in this dataset is 0.000 eV/atom.


| no. | magnetic moment (μB per atom) |
| --- | --- |
| 1 | 0.000 |
| 2 | 0.000 |
| 3 | 0.000 |
| 4 | 0.000 |